A relaxed structure of Bi2SbIr2, computed with GGA-PBE.

Lattice parameters (Å, degrees): 7.927 7.927 3.514 90.00 90.00 90.00
Element x y z (fractional)
Bi 0.154 0.346 0.000
Bi 0.346 0.846 0.000
Bi 0.654 0.154 0.000
Bi 0.846 0.654 0.000
Sb 0.000 0.000 0.500
Sb 0.500 0.500 0.500
Ir 0.137 0.637 0.500
Ir 0.363 0.137 0.500
Ir 0.637 0.863 0.500
Ir 0.863 0.363 0.500

Calculated volume   22.08 Å³/atom
Theoretical density   13.90 g cm⁻³
Total magnetization   0.0 μB per cell
Fermi-level density of states   6.04 states/eV per cell
ΔE_f (raw)   0.3217 eV per atom
Space group   P4/mbm (127)
Uncorrected energy   -5.5995 eV per atom
Polymorph energy (0 for the lowest one)   0 meV per atom

---

A relaxed structure of TlAgBrCl, computed with GGA-PBE.

Lattice parameters (Å, degrees): 4.656 5.031 5.627 90.00 90.08 90.00
Element x y z (fractional)
Tl 0.000 0.000 0.000
Ag 0.571 0.500 0.499
Br 0.473 0.500 0.999
Cl 0.707 0.000 0.500

Calculated volume   32.95 Å³/atom
Theoretical density   5.39 g cm⁻³
Total magnetization   0.0 μB per cell
Fermi-level density of states   0.00 states/eV per cell
ΔE_f (raw)   -0.6189 eV per atom
Space group   Pm (6)
Uncorrected energy   -2.8031 eV per atom

---

A relaxed structure of HoPuGe3, computed with GGA-PBE.

Lattice parameters (Å, degrees): 13.548 13.548 3.992 90.00 90.00 162.30
Element x y z (fractional)
Ho 0.204 0.796 0.750
Ho 0.796 0.204 0.250
Pu 0.075 0.925 0.250
Pu 0.925 0.075 0.750
Ge 0.314 0.686 0.750
Ge 0.377 0.623 0.250
Ge 0.472 0.528 0.250
Ge 0.528 0.472 0.750
Ge 0.623 0.377 0.750
Ge 0.686 0.314 0.250

Calculated volume   22.27 Å³/atom
Theoretical density   9.35 g cm⁻³
Total magnetization   11.5 μB per cell
Fermi-level density of states   21.82 states/eV per cell
Space group   Cmcm (63)
Uncorrected energy   -7.0734 eV per atom

---

A relaxed structure of Tb2Pm5In2, computed with GGA-PBE.

Lattice parameters (Å, degrees): 10.235 10.235 10.235 75.69 117.14 142.28
Element x y z (fractional)
Tb 0.000 0.000 0.000
Tb 0.000 0.500 0.500
Tb 0.174 0.941 0.733
Tb 0.207 0.441 0.267
Pm 0.032 0.489 0.844
Pm 0.032 0.688 0.043
Pm 0.453 0.253 0.313
Pm 0.453 0.640 0.700
Pm 0.578 0.445 0.633
Pm 0.645 0.188 0.156
Pm 0.645 0.989 0.957
Pm 0.812 0.945 0.367
Pm 0.940 0.140 0.687
Pm 0.940 0.753 0.300
In 0.430 0.545 0.059
In 0.430 0.870 0.385
In 0.485 0.045 0.615
In 0.485 0.370 0.941

Calculated volume   31.72 Å³/atom
Theoretical density   7.40 g cm⁻³
Total magnetization   0.0 μB per cell
Fermi-level density of states   22.11 states/eV per cell
Space group   Ima2 (46)
Uncorrected energy   -4.3397 eV per atom

---

A relaxed structure of NdY6Th3, computed with GGA-PBE.

Lattice parameters (Å, degrees): 13.265 3.507 14.361 90.00 97.46 90.00
Element x y z (fractional)
Nd 0.184 0.250 0.394
Nd 0.816 0.750 0.606
Y 0.076 0.750 0.604
Y 0.128 0.250 0.020
Y 0.244 0.250 0.796
Y 0.276 0.750 0.202
Y 0.378 0.750 0.001
Y 0.438 0.750 0.402
Y 0.562 0.250 0.598
Y 0.622 0.250 0.999
Y 0.724 0.250 0.798
Y 0.756 0.750 0.204
Y 0.872 0.750 0.980
Y 0.924 0.250 0.396
Th 0.019 0.750 0.208
Th 0.327 0.750 0.604
Th 0.492 0.750 0.798
Th 0.508 0.250 0.202
Th 0.673 0.250 0.396
Th 0.981 0.250 0.792

Calculated volume   33.12 Å³/atom
Theoretical density   6.89 g cm⁻³
Total magnetization   0.0 μB per cell
Fermi-level density of states   32.11 states/eV per cell
Space group   P2_1/m (11)
Uncorrected energy   -6.4745 eV per atom

---

A relaxed structure of CsTl6In, computed with GGA-PBE.

Lattice parameters (Å, degrees): 5.438 5.438 9.768 90.00 90.00 90.00
Element x y z (fractional)
Cs 0.000 0.000 0.000
Tl 0.000 0.500 0.326
Tl 0.000 0.500 0.674
Tl 0.500 0.000 0.326
Tl 0.500 0.000 0.674
Tl 0.500 0.500 0.158
Tl 0.500 0.500 0.842
In 0.000 0.000 0.500

Calculated volume   36.10 Å³/atom
Theoretical density   8.47 g cm⁻³
Total magnetization   0.0 μB per cell
Fermi-level density of states   3.00 states/eV per cell
Space group   P4/mmm (123)
Uncorrected energy   -2.2409 eV per atom

---

A relaxed structure of LuSc2P, computed with GGA-PBE.

Lattice parameters (Å, degrees): 8.957 8.957 8.957 23.12 23.12 23.12
Element x y z (fractional)
Lu 0.000 0.000 0.000
Sc 0.224 0.224 0.224
Sc 0.776 0.776 0.776
P 0.500 0.500 0.500

Calculated volume   24.31 Å³/atom
Theoretical density   5.05 g cm⁻³
Total magnetization   0.7 μB per cell
Fermi-level density of states   4.89 states/eV per cell
Space group   R-3m (166)
Uncorrected energy   -6.2884 eV per atom

---

A relaxed structure of Pr2ThTe2Se2, computed with GGA-PBE.

Lattice parameters (Å, degrees): 8.900 8.900 8.900 143.70 143.70 52.28
Element x y z (fractional)
Pr 0.112 0.112 0.000
Pr 0.888 0.888 0.000
Th 0.500 0.500 0.000
Te 0.309 0.309 0.000
Te 0.691 0.691 0.000
Se 0.000 0.500 0.500
Se 0.500 0.000 0.500

Calculated volume   35.09 Å³/atom
Theoretical density   6.27 g cm⁻³
Total magnetization   0.0 μB per cell
Fermi-level density of states   6.12 states/eV per cell
ΔE_f (raw)   -1.1835 eV per atom
Space group   I4/mmm (139)
Uncorrected energy   -5.5022 eV per atom